No. 1
PmLuRu4 | PBE | optimized geometry

Calculated values
VASP energy: -7.9884 eV per atom
SG: No. 216
formation enthalpy at 0 K: -0.26 eV per atom

abc: 5.3451 5.3451 5.3451
angles: 60.00 60.00 60.00
Positions (direct):
Pm 0.0000 0.0000 0.0000
Lu 0.7500 0.7500 0.7500
Ru 0.3753 0.3753 0.3753
Ru 0.3753 0.3753 0.8740
Ru 0.3753 0.8740 0.3753
Ru 0.8740 0.3753 0.3753

***

No. 2
PmSmLuRu | PBE | optimized geometry

Calculated values
VASP energy: -5.6815 eV per atom
SG: No. 216
formation enthalpy at 0 K: 0.14 eV per atom

abc: 5.2200 5.2200 5.2200
angles: 60.00 60.00 60.00
Positions (direct):
Pm 0.0000 0.0000 0.0000
Sm 0.5000 0.5000 0.5000
Lu 0.7500 0.7500 0.7500
Ru 0.2500 0.2500 0.2500

***

No. 3
PmLuSnRu | PBE | optimized geometry

Calculated values
VASP energy: -6.0027 eV per atom
SG: No. 216
formation enthalpy at 0 K: -0.37 eV per atom

abc: 5.0897 5.0897 5.0897
angles: 60.00 60.00 60.00
Positions (direct):
Pm 0.0000 0.0000 0.0000
Lu 0.5000 0.5000 0.5000
Sn 0.7500 0.7500 0.7500
Ru 0.2500 0.2500 0.2500

***

No. 4
PmYLuRu | PBE | optimized geometry

Calculated values
VASP energy: -6.1504 eV per atom
SG: No. 216
formation enthalpy at 0 K: 0.10 eV per atom

abc: 5.1859 5.1859 5.1859
angles: 60.00 60.00 60.00
Positions (direct):
Pm 0.0000 0.0000 0.0000
Y 0.5000 0.5000 0.5000
Lu 0.7500 0.7500 0.7500
Ru 0.2500 0.2500 0.2500

***

No. 5
PmLuZnRu | PBE | optimized geometry

Calculated values
VASP energy: -5.2763 eV per atom
SG: No. 216
formation enthalpy at 0 K: -0.32 eV per atom

abc: 4.9320 4.9320 4.9320
angles: 60.00 60.00 60.00
Positions (direct):
Pm 0.0000 0.0000 0.0000
Lu 0.5000 0.5000 0.5000
Zn 0.7500 0.7500 0.7500
Ru 0.2500 0.2500 0.2500

***

No. 6
PmLu2S | PBE | optimized geometry

Calculated values
VASP energy: -5.1876 eV per atom
SG: No. 166

abc: 10.2565 10.2565 10.2565
angles: 20.04 20.04 20.04
Positions (direct):
Pm 0.0000 0.0000 0.0000
Lu 0.1124 0.1124 0.1124
Lu 0.8876 0.8876 0.8876
S 0.5000 0.5000 0.5000

***

No. 7
Pm3LuS | PBE | optimized geometry

Calculated values
VASP energy: -5.2421 eV per atom
SG: No. 221

abc: 5.4327 5.4327 5.4327
angles: 90.00 90.00 90.00
Positions (direct):
Pm 0.0000 0.0000 0.5000
Pm 0.0000 0.5000 0.0000
Pm 0.5000 0.0000 0.0000
Lu 0.5000 0.5000 0.5000
S 0.0000 0.0000 0.0000

***

No. 8
PmLuSb | PBE | optimized geometry

Calculated values
VASP energy: -5.0735 eV per atom
SG: No. 107
E above lowest polymorph: 0.0 kJ/mol of atoms

abc: 6.1293 6.1293 6.1293
angles: 142.26 142.26 54.44
Positions (direct):
Pm 0.0000 0.0000 0.0000
Lu 0.3045 0.3045 0.0000
Sb 0.6668 0.6668 0.0000

***

No. 9
PmLuSb2 | PBE | optimized geometry

Calculated values
VASP energy: -5.1490 eV per atom
SG: No. 225

abc: 5.3890 5.3890 5.3890
angles: 60.00 60.00 60.00
Positions (direct):
Pm 0.0000 0.0000 0.0000
Lu 0.5000 0.5000 0.5000
Sb 0.2500 0.2500 0.2500
Sb 0.7500 0.7500 0.7500

***

No. 10
PmLuSb | PBE | optimized geometry

Calculated values
VASP energy: -4.9057 eV per atom
SG: No. 156
E above lowest polymorph: 16.2 kJ/mol of atoms

abc: 5.0527 5.0527 4.0435
angles: 90.00 90.00 120.00
Positions (direct):
Pm 0.0000 0.0000 0.0000
Lu 0.3333 0.6667 0.5228
Sb 0.6667 0.3333 0.3750

***

No. 11
Pm5Lu3Sb12 | PBE | optimized geometry

Calculated values
VASP energy: -4.7239 eV per atom
SG: No. 230

abc: 15.5487 15.5487 15.5487
angles: 109.47 109.47 109.47
Positions (direct):
Pm 0.0000 0.0000 0.0000
Pm 0.0000 0.0000 0.5000
Pm 0.0000 0.5000 0.0000
Pm 0.0000 0.5000 0.5000
Pm 0.1250 0.7500 0.8750
Pm 0.1250 0.8750 0.2500
Pm 0.2500 0.1250 0.8750
Pm 0.2500 0.6250 0.3750
Pm 0.3750 0.2500 0.6250
Pm 0.3750 0.6250 0.7500
Pm 0.5000 0.0000 0.0000
Pm 0.5000 0.0000 0.5000
Pm 0.5000 0.5000 0.0000
Pm 0.5000 0.5000 0.5000
Pm 0.6250 0.3750 0.2500
Pm 0.6250 0.7500 0.3750
Pm 0.7500 0.3750 0.6250
Pm 0.7500 0.8750 0.1250
Pm 0.8750 0.1250 0.7500
Pm 0.8750 0.2500 0.1250
Lu 0.1250 0.2500 0.3750
Lu 0.1250 0.3750 0.7500
Lu 0.2500 0.3750 0.1250
Lu 0.2500 0.8750 0.6250
Lu 0.3750 0.1250 0.2500
Lu 0.3750 0.7500 0.1250
Lu 0.6250 0.2500 0.8750
Lu 0.6250 0.8750 0.7500
Lu 0.7500 0.1250 0.3750
Lu 0.7500 0.6250 0.8750
Lu 0.8750 0.6250 0.2500
Lu 0.8750 0.7500 0.6250
Sb 0.0726 0.6461 0.4006
Sb 0.0726 0.9264 0.6720
Sb 0.0736 0.2456 0.1461
Sb 0.0736 0.3280 0.9274
Sb 0.0994 0.7456 0.6720
Sb 0.0994 0.8539 0.4274
Sb 0.1461 0.0736 0.2456
Sb 0.1461 0.5726 0.9006
Sb 0.1720 0.2456 0.5994
Sb 0.1720 0.4264 0.5726
Sb 0.2456 0.1461 0.0736
Sb 0.2456 0.5994 0.1720
Sb 0.2544 0.3280 0.9006
Sb 0.2544 0.4264 0.3539
Sb 0.3280 0.9006 0.2544
Sb 0.3280 0.9274 0.0736
Sb 0.3539 0.2544 0.4264
Sb 0.3539 0.5994 0.9274
Sb 0.4006 0.0726 0.6461
Sb 0.4006 0.8280 0.7544
Sb 0.4264 0.3539 0.2544
Sb 0.4264 0.5726 0.1720
Sb 0.4274 0.0994 0.8539
Sb 0.4274 0.8280 0.5736
Sb 0.5726 0.1720 0.4264
Sb 0.5726 0.9006 0.1461
Sb 0.5736 0.4274 0.8280
Sb 0.5736 0.6461 0.7456
Sb 0.5994 0.1720 0.2456
Sb 0.5994 0.9274 0.3539
Sb 0.6461 0.4006 0.0726
Sb 0.6461 0.7456 0.5736
Sb 0.6720 0.0726 0.9264
Sb 0.6720 0.0994 0.7456
Sb 0.7456 0.5736 0.6461
Sb 0.7456 0.6720 0.0994
Sb 0.7544 0.4006 0.8280
Sb 0.7544 0.8539 0.9264
Sb 0.8280 0.5736 0.4274
Sb 0.8280 0.7544 0.4006
Sb 0.8539 0.4274 0.0994
Sb 0.8539 0.9264 0.7544
Sb 0.9006 0.1461 0.5726
Sb 0.9006 0.2544 0.3280
Sb 0.9264 0.6720 0.0726
Sb 0.9264 0.7544 0.8539
Sb 0.9274 0.0736 0.3280
Sb 0.9274 0.3539 0.5994

***

No. 12
PmLuSnSb | PBE | optimized geometry

Calculated values
VASP energy: -4.9484 eV per atom
SG: No. 216

abc: 5.3899 5.3899 5.3899
angles: 60.00 60.00 60.00
Positions (direct):
Pm 0.0000 0.0000 0.0000
Lu 0.5000 0.5000 0.5000
Sn 0.7500 0.7500 0.7500
Sb 0.2500 0.2500 0.2500